Record 1
# RbMgP2O

A geometry-optimized RbMgP2O structure (GGA-PBE, the Alexandria database). Values from VASP.

Calculated values
Formation energy (no corrections) (kcal/mol of atoms): -20.35
Excess energy over the best structure of this formula in the dataset (kJ/mol of formula units): 45.9
Space group: Pm (6)

```
&SYSTEM
  ibrav = 0, nat = 5, ntyp = 4
/
ATOMIC_SPECIES
Rb 85.47 Rb.upf
Mg 24.30 Mg.upf
P 30.97 P.upf
O 16.00 O.upf
ATOMIC_POSITIONS crystal
Rb 0.164 0.000 0.599
Mg 0.458 0.000 0.117
P 0.887 0.500 0.187
P 0.717 0.500 0.891
O 0.248 0.500 0.222
CELL_PARAMETERS angstrom
4.659 0.000 0.001
0.000 3.490 0.000
-0.712 0.000 6.854
```

***

Record 2
# MgRePO2

A geometry-optimized MgRePO2 structure (GGA-PBE, the Alexandria database). Values from VASP.

Calculated values
Formation energy (no corrections) (kcal/mol of atoms): -21.77
Excess energy over the best structure of this formula in the dataset (kJ/mol of formula units): 0.0
Space group: P4/mmm (123)

```
&SYSTEM
  ibrav = 0, nat = 5, ntyp = 4
/
ATOMIC_SPECIES
Re 186.21 Re.upf
Mg 24.30 Mg.upf
O 16.00 O.upf
P 30.97 P.upf
ATOMIC_POSITIONS crystal
Re 0.000 0.000 0.000
Mg 0.500 0.500 0.500
O 0.000 0.500 0.000
O 0.500 0.000 0.000
P 0.000 0.000 0.500
CELL_PARAMETERS angstrom
-1.070 -0.446 3.629
2.255 -3.057 0.289
3.864 2.992 1.507
```

***

Record 3
# MgRePO2

A geometry-optimized MgRePO2 structure (GGA-PBE, the Alexandria database). Values from VASP.

Calculated values
Formation energy (no corrections) (kcal/mol of atoms): 6.30
Excess energy over the best structure of this formula in the dataset (kJ/mol of formula units): 587.3
Space group: P4/mmm (123)

```
&SYSTEM
  ibrav = 0, nat = 5, ntyp = 4
/
ATOMIC_SPECIES
Re 186.21 Re.upf
Mg 24.30 Mg.upf
O 16.00 O.upf
P 30.97 P.upf
ATOMIC_POSITIONS crystal
Re 0.500 0.500 0.500
Mg 0.000 0.000 0.000
O 0.000 0.500 0.000
O 0.500 0.000 0.000
P 0.000 0.000 0.500
CELL_PARAMETERS angstrom
-2.086 2.506 -1.702
-2.937 -1.166 1.882
1.157 3.781 4.148
```

***

Record 4
# MgP2RhO

A geometry-optimized MgP2RhO structure (GGA-PBE, the Alexandria database). Values from VASP.

Calculated values
Formation energy (no corrections) (kcal/mol of atoms): 1.30
Excess energy over the best structure of this formula in the dataset (kJ/mol of formula units): 0.0
Space group: P4/mmm (123)

```
&SYSTEM
  ibrav = 0, nat = 5, ntyp = 4
/
ATOMIC_SPECIES
P 30.97 P.upf
Mg 24.30 Mg.upf
Rh 102.91 Rh.upf
O 16.00 O.upf
ATOMIC_POSITIONS crystal
P 0.000 0.500 0.000
P 0.500 0.000 0.000
Mg 0.500 0.500 0.500
Rh 0.000 0.000 0.000
O 0.000 0.000 0.500
CELL_PARAMETERS angstrom
4.884 0.000 0.000
0.000 4.884 0.000
0.000 0.000 3.685
```

***

Record 5
# MgP2RhO

A geometry-optimized MgP2RhO structure (GGA-PBE, the Alexandria database). Values from VASP.

Calculated values
Formation energy (no corrections) (kcal/mol of atoms): 12.50
Excess energy over the best structure of this formula in the dataset (kJ/mol of formula units): 234.4
Space group: P4/mmm (123)

```
&SYSTEM
  ibrav = 0, nat = 5, ntyp = 4
/
ATOMIC_SPECIES
P 30.97 P.upf
Mg 24.30 Mg.upf
Rh 102.91 Rh.upf
O 16.00 O.upf
ATOMIC_POSITIONS crystal
P 0.000 0.500 0.000
P 0.500 0.000 0.000
Mg 0.000 0.000 0.000
Rh 0.500 0.500 0.500
O 0.000 0.000 0.500
CELL_PARAMETERS angstrom
4.837 0.000 0.000
0.000 4.837 0.000
0.000 0.000 3.534
```

***

Record 6
# MgP2RuO

A geometry-optimized MgP2RuO structure (GGA-PBE, the Alexandria database). Values from VASP.

Calculated values
Formation energy (no corrections) (kcal/mol of atoms): 16.25
Excess energy over the best structure of this formula in the dataset (kJ/mol of formula units): 370.5
Space group: P4/mmm (123)

```
&SYSTEM
  ibrav = 0, nat = 5, ntyp = 4
/
ATOMIC_SPECIES
Ru 101.07 Ru.upf
Mg 24.30 Mg.upf
O 16.00 O.upf
P 30.97 P.upf
ATOMIC_POSITIONS crystal
Ru 0.500 0.500 0.500
Mg 0.000 0.000 0.000
O 0.000 0.000 0.500
P 0.000 0.500 0.000
P 0.500 0.000 0.000
CELL_PARAMETERS angstrom
-1.664 4.531 -0.318
-4.270 -1.445 1.756
1.134 0.647 3.289
```

***

Record 7
# MgP2RuO

A geometry-optimized MgP2RuO structure (GGA-PBE, the Alexandria database). Values from VASP.

Calculated values
Formation energy (no corrections) (kcal/mol of atoms): -1.46
Excess energy over the best structure of this formula in the dataset (kJ/mol of formula units): 0.0
Space group: P4/mmm (123)

```
&SYSTEM
  ibrav = 0, nat = 5, ntyp = 4
/
ATOMIC_SPECIES
Ru 101.07 Ru.upf
Mg 24.30 Mg.upf
O 16.00 O.upf
P 30.97 P.upf
ATOMIC_POSITIONS crystal
Ru 0.000 0.000 0.000
Mg 0.500 0.500 0.500
O 0.000 0.000 0.500
P 0.000 0.500 0.000
P 0.500 0.000 0.000
CELL_PARAMETERS angstrom
4.829 0.000 0.000
0.000 4.829 0.000
0.000 0.000 3.678
```

***

Record 8
# MgPSO2

A geometry-optimized MgPSO2 structure (GGA-PBE, the Alexandria database). Values from VASP.

Calculated values
Formation energy (no corrections) (kcal/mol of atoms): -0.63
Space group: P4/mmm (123)

```
&SYSTEM
  ibrav = 0, nat = 5, ntyp = 4
/
ATOMIC_SPECIES
P 30.97 P.upf
S 32.06 S.upf
Mg 24.30 Mg.upf
O 16.00 O.upf
ATOMIC_POSITIONS crystal
P 0.000 0.000 0.500
S 0.500 0.500 0.500
Mg 0.000 0.000 0.000
O 0.000 0.500 0.000
O 0.500 0.000 0.000
CELL_PARAMETERS angstrom
3.710 0.000 0.000
0.000 3.710 0.000
0.000 0.000 6.923
```

***

It is found that the density of states at the Fermi level values, taken in the order of the records, are 1.7, 2.3, 2.6, 2.9, 5.3, 5.1, 4.0, 3.6 states/eV per cell.